No. 1
# PBEsol Sc2Cd, optimized geometry
data_Sc2Cd
_chemical_formula_sum 'Sc16 Cd8'
_symmetry_space_group_name_H-M 'P 1'
_symmetry_Int_Tables_number 1
_cell_length_a 9.117
_cell_length_b 9.117
_cell_length_c 9.117
_cell_angle_alpha 60.00
_cell_angle_beta 60.00
_cell_angle_gamma 60.00
loop_
_symmetry_equiv_pos_as_xyz
'x,y,z'
loop_
_atom_site_label
_atom_site_fract_x
_atom_site_fract_y
_atom_site_fract_z
Cd1 0.840 0.480 0.840
Cd2 0.840 0.840 0.480
Cd3 0.840 0.840 0.840
Cd4 0.480 0.840 0.840
Cd5 0.410 0.770 0.410
Cd6 0.410 0.410 0.770
Cd7 0.410 0.410 0.410
Cd8 0.770 0.410 0.410
Sc1 0.125 0.625 0.625
Sc2 0.625 0.625 0.625
Sc3 0.625 0.625 0.125
Sc4 0.625 0.125 0.625
Sc5 0.065 0.435 0.435
Sc6 0.065 0.435 0.065
Sc7 0.435 0.435 0.065
Sc8 0.065 0.065 0.435
Sc9 0.435 0.065 0.435
Sc10 0.435 0.065 0.065
Sc11 0.185 0.815 0.815
Sc12 0.185 0.815 0.185
Sc13 0.815 0.815 0.185
Sc14 0.185 0.185 0.815
Sc15 0.815 0.185 0.815
Sc16 0.815 0.185 0.185
# - formation energy from the elements (eV/f.u.) = -0.58
# - theoretical density (g/cm³) = 5.02
# - space group = No. 227



No. 2
# PBEsol AgMo2As, optimized geometry
data_AgMo2As
_chemical_formula_sum 'Ag1 Mo2 As1'
_symmetry_space_group_name_H-M 'P 1'
_symmetry_Int_Tables_number 1
_cell_length_a 4.457
_cell_length_b 4.457
_cell_length_c 4.457
_cell_angle_alpha 60.00
_cell_angle_beta 60.00
_cell_angle_gamma 60.00
loop_
_symmetry_equiv_pos_as_xyz
'x,y,z'
loop_
_atom_site_label
_atom_site_fract_x
_atom_site_fract_y
_atom_site_fract_z
Mo1 0.000 0.000 0.000
Mo2 0.750 0.750 0.750
As1 0.250 0.250 0.250
Ag1 0.500 0.500 0.500
# - formation energy from the elements (eV/f.u.) = 2.21
# - theoretical density (g/cm³) = 9.94
# - space group = No. 216



No. 3
# PBEsol NaGeIr3, optimized geometry
data_NaGeIr3
_chemical_formula_sum 'Na1 Ge1 Ir3'
_symmetry_space_group_name_H-M 'P 1'
_symmetry_Int_Tables_number 1
_cell_length_a 4.417
_cell_length_b 4.417
_cell_length_c 4.417
_cell_angle_alpha 90.00
_cell_angle_beta 90.00
_cell_angle_gamma 90.00
loop_
_symmetry_equiv_pos_as_xyz
'x,y,z'
loop_
_atom_site_label
_atom_site_fract_x
_atom_site_fract_y
_atom_site_fract_z
Na1 0.000 0.000 0.000
Ge1 0.500 0.500 0.500
Ir1 0.000 0.500 0.000
Ir2 0.000 0.000 0.500
Ir3 0.500 0.000 0.000
# - formation energy from the elements (eV/f.u.) = 11.72
# - theoretical density (g/cm³) = 12.96
# - space group = No. 221



No. 4
# PBEsol ScTa2W, optimized geometry
data_ScTa2W
_chemical_formula_sum 'Sc1 Ta2 W1'
_symmetry_space_group_name_H-M 'P 1'
_symmetry_Int_Tables_number 1
_cell_length_a 3.954
_cell_length_b 3.954
_cell_length_c 5.359
_cell_angle_alpha 111.65
_cell_angle_beta 111.65
_cell_angle_gamma 90.00
loop_
_symmetry_equiv_pos_as_xyz
'x,y,z'
loop_
_atom_site_label
_atom_site_fract_x
_atom_site_fract_y
_atom_site_fract_z
Sc1 0.250 0.750 0.500
Ta1 0.000 0.000 0.000
Ta2 0.750 0.250 0.500
W1 0.500 0.500 0.000
# - formation energy from the elements (eV/f.u.) = 1.42
# - theoretical density (g/cm³) = 13.72
# - space group = No. 119



No. 5
# PBEsol Nd5As2ClO10, optimized geometry
data_Nd5As2ClO10
_chemical_formula_sum 'Nd5 As2 Cl1 O10'
_symmetry_space_group_name_H-M 'P 1'
_symmetry_Int_Tables_number 1
_cell_length_a 5.656
_cell_length_b 6.811
_cell_length_c 8.807
_cell_angle_alpha 68.45
_cell_angle_beta 71.27
_cell_angle_gamma 65.46
loop_
_symmetry_equiv_pos_as_xyz
'x,y,z'
loop_
_atom_site_label
_atom_site_fract_x
_atom_site_fract_y
_atom_site_fract_z
Nd1 0.501 0.706 0.293
Nd2 0.254 0.363 0.130
Nd3 0.000 0.000 0.000
Nd4 0.746 0.637 0.870
Nd5 0.499 0.294 0.707
As1 0.214 0.970 0.603
As2 0.786 0.030 0.397
Cl1 0.000 0.500 0.500
O1 0.374 0.674 0.084
O2 0.376 0.968 0.752
O3 0.359 0.683 0.598
O4 0.641 0.317 0.402
O5 0.868 0.674 0.084
O6 0.132 0.326 0.916
O7 0.904 0.968 0.752
O8 0.626 0.326 0.916
O9 0.096 0.032 0.248
O10 0.624 0.032 0.248
# - theoretical density (g/cm³) = 6.30
# - raw formation energy (meV per atom) = -2831
# - space group = No. 12



No. 6
# PBEsol Hf3Ge2, optimized geometry
data_Hf3Ge2
_chemical_formula_sum 'Hf6 Ge4'
_symmetry_space_group_name_H-M 'P 1'
_symmetry_Int_Tables_number 1
_cell_length_a 3.647
_cell_length_b 7.074
_cell_length_c 7.074
_cell_angle_alpha 90.00
_cell_angle_beta 90.00
_cell_angle_gamma 90.00
loop_
_symmetry_equiv_pos_as_xyz
'x,y,z'
loop_
_atom_site_label
_atom_site_fract_x
_atom_site_fract_y
_atom_site_fract_z
Hf1 0.000 0.000 0.000
Hf2 0.000 0.500 0.500
Hf3 0.500 0.671 0.171
Hf4 0.500 0.329 0.829
Hf5 0.500 0.829 0.671
Hf6 0.500 0.171 0.329
Ge1 0.000 0.130 0.630
Ge2 0.000 0.870 0.370
Ge3 0.000 0.370 0.130
Ge4 0.000 0.630 0.870
# - formation energy from the elements (eV/f.u.) = -3.86
# - theoretical density (g/cm³) = 12.39
# - space group = No. 127



No. 7
# PBEsol AgSeBr2, optimized geometry
data_AgSeBr2
_chemical_formula_sum 'Ag1 Se1 Br2'
_symmetry_space_group_name_H-M 'P 1'
_symmetry_Int_Tables_number 1
_cell_length_a 5.143
_cell_length_b 5.127
_cell_length_c 5.127
_cell_angle_alpha 96.60
_cell_angle_beta 116.31
_cell_angle_gamma 116.31
loop_
_symmetry_equiv_pos_as_xyz
'x,y,z'
loop_
_atom_site_label
_atom_site_fract_x
_atom_site_fract_y
_atom_site_fract_z
Ag1 0.500 0.000 0.000
Br1 0.000 0.500 0.000
Br2 0.000 0.000 0.500
Se1 0.500 0.500 0.500
# - theoretical density (g/cm³) = 5.75
# - energy above the most stable polymorph in this dataset (kJ/mol of formula units) = 0
# - raw formation energy (meV per atom) = 58
# - space group = No. 12



No. 8
# PBEsol CaFe2Os, optimized geometry
data_CaFe2Os
_chemical_formula_sum 'Ca1 Fe2 Os1'
_symmetry_space_group_name_H-M 'P 1'
_symmetry_Int_Tables_number 1
_cell_length_a 2.884
_cell_length_b 2.884
_cell_length_c 7.235
_cell_angle_alpha 90.00
_cell_angle_beta 90.00
_cell_angle_gamma 90.00
loop_
_symmetry_equiv_pos_as_xyz
'x,y,z'
loop_
_atom_site_label
_atom_site_fract_x
_atom_site_fract_y
_atom_site_fract_z
Ca1 0.500 0.500 0.755
Fe1 0.000 0.000 0.068
Fe2 0.500 0.500 0.239
Os1 0.000 0.000 0.438
# - formation energy from the elements (eV/f.u.) = 1.71
# - theoretical density (g/cm³) = 9.44
# - energy above the most stable polymorph in this dataset (kJ/mol of formula units) = 0
# - space group = No. 99



No. 9
# PBEsol LaBeFe2, optimized geometry
data_LaBeFe2
_chemical_formula_sum 'La1 Be1 Fe2'
_symmetry_space_group_name_H-M 'P 1'
_symmetry_Int_Tables_number 1
_cell_length_a 3.012
_cell_length_b 3.012
_cell_length_c 6.462
_cell_angle_alpha 90.00
_cell_angle_beta 90.00
_cell_angle_gamma 90.00
loop_
_symmetry_equiv_pos_as_xyz
'x,y,z'
loop_
_atom_site_label
_atom_site_fract_x
_atom_site_fract_y
_atom_site_fract_z
Be1 0.500 0.500 0.500
Fe1 0.000 0.000 0.664
Fe2 0.000 0.000 0.336
La1 0.500 0.500 0.000
# - formation energy from the elements (eV/f.u.) = 1.16
# - theoretical density (g/cm³) = 7.35
# - space group = No. 123



No. 10
# PBEsol KIr2Pb, optimized geometry
data_KIr2Pb
_chemical_formula_sum 'K1 Ir2 Pb1'
_symmetry_space_group_name_H-M 'P 1'
_symmetry_Int_Tables_number 1
_cell_length_a 3.003
_cell_length_b 5.044
_cell_length_c 6.288
_cell_angle_alpha 99.36
_cell_angle_beta 90.00
_cell_angle_gamma 107.32
loop_
_symmetry_equiv_pos_as_xyz
'x,y,z'
loop_
_atom_site_label
_atom_site_fract_x
_atom_site_fract_y
_atom_site_fract_z
Ir1 0.736 0.472 0.663
Ir2 0.264 0.528 0.337
K1 0.500 0.000 0.000
Pb1 0.000 0.000 0.500
# - formation energy from the elements (eV/f.u.) = 3.19
# - theoretical density (g/cm³) = 11.69
# - space group = No. 12



No. 11
# PBEsol Ba2SrCu, optimized geometry
data_Ba2SrCu
_chemical_formula_sum 'Ba2 Sr1 Cu1'
_symmetry_space_group_name_H-M 'P 1'
_symmetry_Int_Tables_number 1
_cell_length_a 3.967
_cell_length_b 3.967
_cell_length_c 10.425
_cell_angle_alpha 90.00
_cell_angle_beta 90.00
_cell_angle_gamma 89.90
loop_
_symmetry_equiv_pos_as_xyz
'x,y,z'
loop_
_atom_site_label
_atom_site_fract_x
_atom_site_fract_y
_atom_site_fract_z
Sr1 0.500 0.500 0.000
Ba1 0.000 0.000 0.325
Ba2 0.000 0.000 0.675
Cu1 0.500 0.500 0.500
# - formation energy from the elements (eV/f.u.) = 0.25
# - theoretical density (g/cm³) = 4.31
# - energy above the most stable polymorph in this dataset (kJ/mol of formula units) = 0
# - space group = No. 65



No. 12
# PBEsol TlAg2Au, optimized geometry
data_TlAg2Au
_chemical_formula_sum 'Tl1 Ag2 Au1'
_symmetry_space_group_name_H-M 'P 1'
_symmetry_Int_Tables_number 1
_cell_length_a 4.158
_cell_length_b 4.158
_cell_length_c 5.182
_cell_angle_alpha 113.65
_cell_angle_beta 113.65
_cell_angle_gamma 90.00
loop_
_symmetry_equiv_pos_as_xyz
'x,y,z'
loop_
_atom_site_label
_atom_site_fract_x
_atom_site_fract_y
_atom_site_fract_z
Tl1 0.250 0.750 0.500
Au1 0.500 0.500 0.000
Ag1 0.000 0.000 0.000
Ag2 0.750 0.250 0.500
# - formation energy from the elements (eV/f.u.) = 0.18
# - theoretical density (g/cm³) = 13.89
# - energy above the most stable polymorph in this dataset (kJ/mol of formula units) = 0
# - space group = No. 119



No. 13
# PBEsol Ta2CdAg, optimized geometry
data_Ta2CdAg
_chemical_formula_sum 'Ta2 Cd1 Ag1'
_symmetry_space_group_name_H-M 'P 1'
_symmetry_Int_Tables_number 1
_cell_length_a 4.070
_cell_length_b 4.070
_cell_length_c 5.154
_cell_angle_alpha 113.26
_cell_angle_beta 113.26
_cell_angle_gamma 90.00
loop_
_symmetry_equiv_pos_as_xyz
'x,y,z'
loop_
_atom_site_label
_atom_site_fract_x
_atom_site_fract_y
_atom_site_fract_z
Cd1 0.250 0.750 0.500
Ag1 0.500 0.500 0.000
Ta1 0.000 0.000 0.000
Ta2 0.750 0.250 0.500
# - formation energy from the elements (eV/f.u.) = 1.81
# - theoretical density (g/cm³) = 13.65
# - space group = No. 119



No. 14
# PBEsol CdHg2RhAu, optimized geometry
data_CdHg2RhAu
_chemical_formula_sum 'Cd1 Hg2 Rh1 Au1'
_symmetry_space_group_name_H-M 'P 1'
_symmetry_Int_Tables_number 1
_cell_length_a 4.986
_cell_length_b 5.085
_cell_length_c 5.085
_cell_angle_alpha 90.00
_cell_angle_beta 90.00
_cell_angle_gamma 90.00
loop_
_symmetry_equiv_pos_as_xyz
'x,y,z'
loop_
_atom_site_label
_atom_site_fract_x
_atom_site_fract_y
_atom_site_fract_z
Rh1 0.000 0.000 0.000
Au1 0.500 0.000 0.000
Hg1 0.000 0.000 0.500
Hg2 0.000 0.500 0.000
Cd1 0.500 0.500 0.500
# - formation energy from the elements (eV/f.u.) = 2.74
# - theoretical density (g/cm³) = 10.48
# - space group = No. 123



No. 15
# PBEsol TmNiSn4, optimized geometry
data_TmNiSn4
_chemical_formula_sum 'Tm2 Ni2 Sn8'
_symmetry_space_group_name_H-M 'P 1'
_symmetry_Int_Tables_number 1
_cell_length_a 4.332
_cell_length_b 4.402
_cell_length_c 14.129
_cell_angle_alpha 90.00
_cell_angle_beta 98.82
_cell_angle_gamma 90.00
loop_
_symmetry_equiv_pos_as_xyz
'x,y,z'
loop_
_atom_site_label
_atom_site_fract_x
_atom_site_fract_y
_atom_site_fract_z
Tm1 0.806 0.500 0.612
Tm2 0.194 0.500 0.388
Ni1 0.553 0.000 0.105
Ni2 0.447 0.000 0.895
Sn1 0.610 0.500 0.220
Sn2 0.390 0.500 0.780
Sn3 0.714 0.000 0.428
Sn4 0.286 0.000 0.572
Sn5 0.889 0.000 0.779
Sn6 0.111 0.000 0.221
Sn7 0.000 0.000 0.000
Sn8 0.500 0.500 0.000
# - formation energy from the elements (eV/f.u.) = -2.27
# - theoretical density (g/cm³) = 8.76
# - space group = No. 65



No. 16
# PBEsol SbTe2IrS, optimized geometry
data_SbTe2IrS
_chemical_formula_sum 'Sb1 Te2 Ir1 S1'
_symmetry_space_group_name_H-M 'P 1'
_symmetry_Int_Tables_number 1
_cell_length_a 5.019
_cell_length_b 5.019
_cell_length_c 4.920
_cell_angle_alpha 90.00
_cell_angle_beta 90.00
_cell_angle_gamma 90.00
loop_
_symmetry_equiv_pos_as_xyz
'x,y,z'
loop_
_atom_site_label
_atom_site_fract_x
_atom_site_fract_y
_atom_site_fract_z
Sb1 0.000 0.000 0.500
S1 0.000 0.000 0.000
Ir1 0.500 0.500 0.500
Te1 0.000 0.500 0.000
Te2 0.500 0.000 0.000
# - theoretical density (g/cm³) = 8.05
# - raw formation energy (meV per atom) = 1227
# - space group = No. 123



No. 17
# PBEsol PBrF2, optimized geometry
data_PBrF2
_chemical_formula_sum 'P2 Br2 F4'
_symmetry_space_group_name_H-M 'P 1'
_symmetry_Int_Tables_number 1
_cell_length_a 4.586
_cell_length_b 4.586
_cell_length_c 7.107
_cell_angle_alpha 108.82
_cell_angle_beta 108.82
_cell_angle_gamma 90.00
loop_
_symmetry_equiv_pos_as_xyz
'x,y,z'
loop_
_atom_site_label
_atom_site_fract_x
_atom_site_fract_y
_atom_site_fract_z
P1 0.500 0.500 0.000
P2 0.750 0.250 0.500
Br1 0.000 0.000 0.000
Br2 0.250 0.750 0.500
F1 0.625 0.375 0.750
F2 0.125 0.375 0.750
F3 0.625 0.875 0.250
F4 0.625 0.375 0.250
# - theoretical density (g/cm³) = 3.72
# - energy above the most stable polymorph in this dataset (kJ/mol of formula units) = 159
# - raw formation energy (meV per atom) = -627
# - space group = No. 141



No. 18
# PBEsol ScHgCl2, optimized geometry
data_ScHgCl2
_chemical_formula_sum 'Sc1 Hg1 Cl2'
_symmetry_space_group_name_H-M 'P 1'
_symmetry_Int_Tables_number 1
_cell_length_a 3.288
_cell_length_b 5.560
_cell_length_c 6.206
_cell_angle_alpha 116.61
_cell_angle_beta 105.36
_cell_angle_gamma 90.00
loop_
_symmetry_equiv_pos_as_xyz
'x,y,z'
loop_
_atom_site_label
_atom_site_fract_x
_atom_site_fract_y
_atom_site_fract_z
Sc1 0.000 0.500 0.000
Hg1 0.500 0.000 0.000
Cl1 0.674 0.674 0.349
Cl2 0.326 0.326 0.651
# - theoretical density (g/cm³) = 5.42
# - energy above the most stable polymorph in this dataset (kJ/mol of formula units) = 0
# - raw formation energy (meV per atom) = -1251
# - space group = No. 71



No. 19
# PBEsol SiAgHg, optimized geometry
data_SiAgHg
_chemical_formula_sum 'Si1 Ag1 Hg1'
_symmetry_space_group_name_H-M 'P 1'
_symmetry_Int_Tables_number 1
_cell_length_a 4.426
_cell_length_b 4.426
_cell_length_c 4.426
_cell_angle_alpha 60.00
_cell_angle_beta 60.00
_cell_angle_gamma 60.00
loop_
_symmetry_equiv_pos_as_xyz
'x,y,z'
loop_
_atom_site_label
_atom_site_fract_x
_atom_site_fract_y
_atom_site_fract_z
Ag1 0.250 0.250 0.250
Hg1 0.000 0.000 0.000
Si1 0.500 0.500 0.500
# - theoretical density (g/cm³) = 9.11
# - raw formation energy (meV per atom) = 360
# - space group = No. 216



No. 20
# PBEsol Mg2InAg, optimized geometry
data_Mg2InAg
_chemical_formula_sum 'Mg2 In1 Ag1'
_symmetry_space_group_name_H-M 'P 1'
_symmetry_Int_Tables_number 1
_cell_length_a 3.190
_cell_length_b 5.040
_cell_length_c 5.501
_cell_angle_alpha 101.31
_cell_angle_beta 90.00
_cell_angle_gamma 108.45
loop_
_symmetry_equiv_pos_as_xyz
'x,y,z'
loop_
_atom_site_label
_atom_site_fract_x
_atom_site_fract_y
_atom_site_fract_z
Mg1 0.743 0.486 0.738
Mg2 0.257 0.514 0.262
Ag1 0.000 0.000 0.500
In1 0.500 0.000 0.000
# - formation energy from the elements (eV/f.u.) = -0.35
# - theoretical density (g/cm³) = 5.49
# - space group = No. 12